# SrZnSeN2 (GGA-PBE, relaxed)
# V   18.81 A^3/atom
# DOS at the Fermi energy   2.41 states/eV per cell
# ΔE_f (raw)   0.549 eV per atom
# Energy relative to the lowest polymorph listed for this composition   0.000 eV/atom
data_SrZnSeN2
_chemical_formula_sum 'Sr1 Zn1 Se1 N2'
_cell_length_a 4.2503
_cell_length_b 4.2503
_cell_length_c 5.2075
_cell_angle_alpha 90.00
_cell_angle_beta 90.00
_cell_angle_gamma 90.00
_space_group_name_H-M_alt 'P 4/m m m'
_space_group_IT_number 123
_space_group_name_Hall '-P 4 2'
loop_
_atom_site_label
_atom_site_fract_x
_atom_site_fract_y
_atom_site_fract_z
Sr1 0.0000 0.0000 0.0000
Zn1 0.5000 0.5000 0.5000
Se1 0.5000 0.5000 0.0000
N1 0.0000 0.5000 0.5000

***

# SrZnSeN2 (GGA-PBE, relaxed)
# V   28.90 A^3/atom
# DOS at the Fermi energy   1.86 states/eV per cell
# ΔE_f (raw)   1.364 eV per atom
# Energy relative to the lowest polymorph listed for this composition   0.815 eV/atom
data_SrZnSeN2
_chemical_formula_sum 'Sr1 Zn1 Se1 N2'
_cell_length_a 4.8028
_cell_length_b 4.8028
_cell_length_c 6.2643
_cell_angle_alpha 90.00
_cell_angle_beta 90.00
_cell_angle_gamma 90.00
_space_group_name_H-M_alt 'P 4/m m m'
_space_group_IT_number 123
_space_group_name_Hall '-P 4 2'
loop_
_atom_site_label
_atom_site_fract_x
_atom_site_fract_y
_atom_site_fract_z
Sr1 0.0000 0.0000 0.0000
Zn1 0.5000 0.5000 0.5000
Se1 0.0000 0.0000 0.5000
N1 0.0000 0.5000 0.0000

***

# SrZrSeN2 (GGA-PBE, relaxed)
# V   20.23 A^3/atom
# DOS at the Fermi energy   3.68 states/eV per cell
# ΔE_f (raw)   -0.617 eV per atom
# Energy relative to the lowest polymorph listed for this composition   0.000 eV/atom
data_SrZrSeN2
_chemical_formula_sum 'Sr1 Zr1 Se1 N2'
_cell_length_a 4.2913
_cell_length_b 4.2913
_cell_length_c 5.4940
_cell_angle_alpha 90.00
_cell_angle_beta 90.00
_cell_angle_gamma 90.00
_space_group_name_H-M_alt 'P 4/m m m'
_space_group_IT_number 123
_space_group_name_Hall '-P 4 2'
loop_
_atom_site_label
_atom_site_fract_x
_atom_site_fract_y
_atom_site_fract_z
Sr1 0.0000 0.0000 0.0000
Zr1 0.5000 0.5000 0.5000
Se1 0.5000 0.5000 0.0000
N1 0.0000 0.5000 0.5000

***

# SrZrSeN2 (GGA-PBE, relaxed)
# V   20.12 A^3/atom
# DOS at the Fermi energy   1.50 states/eV per cell
# ΔE_f (raw)   1.175 eV per atom
# Energy relative to the lowest polymorph listed for this composition   1.791 eV/atom
data_SrZrSeN2
_chemical_formula_sum 'Sr1 Zr1 Se1 N2'
_cell_length_a 4.2406
_cell_length_b 4.2406
_cell_length_c 5.5942
_cell_angle_alpha 90.00
_cell_angle_beta 90.00
_cell_angle_gamma 90.00
_space_group_name_H-M_alt 'P 4/m m m'
_space_group_IT_number 123
_space_group_name_Hall '-P 4 2'
loop_
_atom_site_label
_atom_site_fract_x
_atom_site_fract_y
_atom_site_fract_z
Sr1 0.0000 0.0000 0.0000
Zr1 0.5000 0.5000 0.5000
Se1 0.0000 0.0000 0.5000
N1 0.0000 0.5000 0.0000

***

# TaSeN3 (GGA-PBE, relaxed)
# V   13.52 A^3/atom
# DOS at the Fermi energy   4.29 states/eV per cell
# ΔE_f (raw)   0.905 eV per atom
data_TaSeN3
_chemical_formula_sum 'Ta1 Se1 N3'
_cell_length_a 4.0738
_cell_length_b 4.0738
_cell_length_c 4.0738
_cell_angle_alpha 90.00
_cell_angle_beta 90.00
_cell_angle_gamma 90.00
_space_group_name_H-M_alt 'P m -3 m'
_space_group_IT_number 221
_space_group_name_Hall '-P 4 2 3'
loop_
_atom_site_label
_atom_site_fract_x
_atom_site_fract_y
_atom_site_fract_z
Ta1 0.0000 0.0000 0.0000
Se1 0.5000 0.5000 0.5000
N1 0.0000 0.0000 0.5000

***

# Ta3SeN (GGA-PBE, relaxed)
# V   15.55 A^3/atom
# DOS at the Fermi energy   3.41 states/eV per cell
# ΔE_f (raw)   -0.086 eV per atom
# Energy relative to the lowest polymorph listed for this composition   0.000 eV/atom
data_Ta3SeN
_chemical_formula_sum 'Ta3 Se1 N1'
_cell_length_a 4.2685
_cell_length_b 4.2685
_cell_length_c 4.2685
_cell_angle_alpha 90.00
_cell_angle_beta 90.00
_cell_angle_gamma 90.00
_space_group_name_H-M_alt 'P m -3 m'
_space_group_IT_number 221
_space_group_name_Hall '-P 4 2 3'
loop_
_atom_site_label
_atom_site_fract_x
_atom_site_fract_y
_atom_site_fract_z
Ta1 0.0000 0.0000 0.5000
Se1 0.5000 0.5000 0.5000
N1 0.0000 0.0000 0.0000

***

# TaSe2N (GGA-PBE, relaxed)
# V   19.79 A^3/atom
# DOS at the Fermi energy   8.92 states/eV per cell
# ΔE_f (raw)   0.885 eV per atom
data_TaSe2N
_chemical_formula_sum 'Ta4 Se8 N4'
_cell_length_a 5.4919
_cell_length_b 5.4919
_cell_length_c 10.4984
_cell_angle_alpha 90.00
_cell_angle_beta 90.00
_cell_angle_gamma 90.00
_space_group_name_H-M_alt 'I -4 2 d'
_space_group_IT_number 122
_space_group_name_Hall 'I -4 2bw'
loop_
_atom_site_label
_atom_site_fract_x
_atom_site_fract_y
_atom_site_fract_z
Ta1 0.0000 0.0000 0.0000
Se1 0.2069 0.2500 0.6250
N1 0.0000 0.0000 0.5000

***

# TaSe3N (GGA-PBE, relaxed)
# V   16.40 A^3/atom
# DOS at the Fermi energy   5.90 states/eV per cell
# ΔE_f (raw)   0.921 eV per atom
# Energy relative to the lowest polymorph listed for this composition   0.098 eV/atom
data_TaSe3N
_chemical_formula_sum 'Ta1 Se3 N1'
_cell_length_a 4.3442
_cell_length_b 4.3442
_cell_length_c 4.3442
_cell_angle_alpha 90.00
_cell_angle_beta 90.00
_cell_angle_gamma 90.00
_space_group_name_H-M_alt 'P m -3 m'
_space_group_IT_number 221
_space_group_name_Hall '-P 4 2 3'
loop_
_atom_site_label
_atom_site_fract_x
_atom_site_fract_y
_atom_site_fract_z
Ta1 0.0000 0.0000 0.0000
Se1 0.0000 0.5000 0.5000
N1 0.5000 0.5000 0.5000

***

# TaSeN2 (GGA-PBE, relaxed)
# V   13.80 A^3/atom
# DOS at the Fermi energy   4.72 states/eV per cell
# ΔE_f (raw)   -0.269 eV per atom
data_TaSeN2
_chemical_formula_sum 'Ta3 Se3 N6'
_cell_length_a 3.1372
_cell_length_b 3.1372
_cell_length_c 19.4260
_cell_angle_alpha 90.00
_cell_angle_beta 90.00
_cell_angle_gamma 120.00
_space_group_name_H-M_alt 'R -3 m'
_space_group_IT_number 166
_space_group_name_Hall '-R 3 2"'
loop_
_atom_site_label
_atom_site_fract_x
_atom_site_fract_y
_atom_site_fract_z
Ta1 0.0000 0.0000 0.0000
Se1 0.0000 0.0000 0.5000
N1 0.0000 0.0000 0.3897

***

# TaSeN2 (GGA-PBE, relaxed)
# V   16.92 A^3/atom
# DOS at the Fermi energy   20.54 states/eV per cell
# ΔE_f (raw)   0.193 eV per atom
data_TaSeN2
_chemical_formula_sum 'Ta4 Se4 N8'
_cell_length_a 5.4238
_cell_length_b 5.4238
_cell_length_c 9.2014
_cell_angle_alpha 90.00
_cell_angle_beta 90.00
_cell_angle_gamma 90.00
_space_group_name_H-M_alt 'I -4 2 d'
_space_group_IT_number 122
_space_group_name_Hall 'I -4 2bw'
loop_
_atom_site_label
_atom_site_fract_x
_atom_site_fract_y
_atom_site_fract_z
Ta1 0.0000 0.0000 0.0000
Se1 0.0000 0.0000 0.5000
N1 0.1454 0.2500 0.1250

***

# Ta2SeN (GGA-PBE, relaxed)
# V   18.26 A^3/atom
# DOS at the Fermi energy   17.84 states/eV per cell
# ΔE_f (raw)   -0.230 eV per atom
# Energy relative to the lowest polymorph listed for this composition   0.000 eV/atom
data_Ta2SeN
_chemical_formula_sum 'Ta8 Se4 N4'
_cell_length_a 5.0144
_cell_length_b 5.0144
_cell_length_c 11.6181
_cell_angle_alpha 90.00
_cell_angle_beta 90.00
_cell_angle_gamma 90.00
_space_group_name_H-M_alt 'I -4 2 d'
_space_group_IT_number 122
_space_group_name_Hall 'I -4 2bw'
loop_
_atom_site_label
_atom_site_fract_x
_atom_site_fract_y
_atom_site_fract_z
Ta1 0.1466 0.2500 0.1250
Se1 0.0000 0.0000 0.5000
N1 0.0000 0.0000 0.0000

***

# TaSe3N (GGA-PBE, relaxed)
# V   25.63 A^3/atom
# DOS at the Fermi energy   2.64 states/eV per cell
# ΔE_f (raw)   0.823 eV per atom
# Energy relative to the lowest polymorph listed for this composition   0.000 eV/atom
data_TaSe3N
_chemical_formula_sum 'Ta1 Se3 N1'
_cell_length_a 5.0415
_cell_length_b 5.0415
_cell_length_c 5.0415
_cell_angle_alpha 90.00
_cell_angle_beta 90.00
_cell_angle_gamma 90.00
_space_group_name_H-M_alt 'P m -3 m'
_space_group_IT_number 221
_space_group_name_Hall '-P 4 2 3'
loop_
_atom_site_label
_atom_site_fract_x
_atom_site_fract_y
_atom_site_fract_z
Ta1 0.0000 0.0000 0.0000
Se1 0.0000 0.0000 0.5000
N1 0.5000 0.5000 0.5000

***

# TaSe2N (GGA-PBE, relaxed)
# V   18.39 A^3/atom
# DOS at the Fermi energy   5.56 states/eV per cell
# ΔE_f (raw)   0.535 eV per atom
data_TaSe2N
_chemical_formula_sum 'Ta3 Se6 N3'
_cell_length_a 3.4938
_cell_length_b 3.4938
_cell_length_c 20.8743
_cell_angle_alpha 90.00
_cell_angle_beta 90.00
_cell_angle_gamma 120.00
_space_group_name_H-M_alt 'R -3 m'
_space_group_IT_number 166
_space_group_name_Hall '-R 3 2"'
loop_
_atom_site_label
_atom_site_fract_x
_atom_site_fract_y
_atom_site_fract_z
Ta1 0.0000 0.0000 0.0000
Se1 0.0000 0.0000 0.4138
N1 0.0000 0.0000 0.5000

***

# TaSeN3 (GGA-PBE, relaxed)
# V   10.42 A^3/atom
# DOS at the Fermi energy   3.01 states/eV per cell
# ΔE_f (raw)   1.482 eV per atom
data_TaSeN3
_chemical_formula_sum 'Ta1 Se1 N3'
_cell_length_a 3.7345
_cell_length_b 3.7345
_cell_length_c 3.7345
_cell_angle_alpha 90.00
_cell_angle_beta 90.00
_cell_angle_gamma 90.00
_space_group_name_H-M_alt 'P m -3 m'
_space_group_IT_number 221
_space_group_name_Hall '-P 4 2 3'
loop_
_atom_site_label
_atom_site_fract_x
_atom_site_fract_y
_atom_site_fract_z
Ta1 0.0000 0.0000 0.0000
Se1 0.5000 0.5000 0.5000
N1 0.0000 0.5000 0.5000